A geometry-optimized CaTb4Y4 structure, computed with PBE.

Cell and atoms, written as extended XYZ:
```
18
Lattice="6.653 0.000 0.000 -0.992 9.018 0.000 -1.921 -3.151 9.909" Properties=species:S:1:pos:R:3 pbc="T T T"
Ca -0.744 1.506 2.568
Ca 4.484 4.361 7.341
Tb -0.688 1.296 6.056
Tb -0.263 7.396 3.951
Tb 0.714 -1.668 7.362
Tb 0.213 2.864 9.393
Tb 3.527 3.003 0.515
Tb 3.027 7.535 2.547
Tb 4.004 -1.529 5.958
Tb 4.428 4.571 3.852
Y -1.679 -0.125 9.219
Y 1.705 0.027 0.652
Y 1.191 4.451 2.480
Y 1.131 4.396 5.859
Y 2.610 1.471 4.050
Y 2.549 1.416 7.428
Y 2.035 5.840 9.257
Y 5.419 5.992 0.689
```

Results
Final energy in hartree per atom: -0.1869
Volume in A^3/atom: 33.03
ΔE_f in eV per atom: 0.068